[1]
Entry from Alexandria: a geometry-optimized Ca3Dy3AgS8 structure (PBE).

## Properties
For the energy relative to the elements, uncorrected, the calculation gives -1816.0 meV per atom.

a b c (Å): 7.9534 7.9534 7.9534
angles (deg): 59.59 59.59 59.59
With the nearest neighbours (Å) after each atom.
Atoms (fractional coordinates):
Ca  0.0000  0.5000  0.5000  6 S 2.83-2.87
Ca  0.5000  0.0000  0.5000  6 S 2.83-2.87
Ca  0.5000  0.5000  0.0000  6 S 2.83-2.87
Dy  0.0000  0.0000  0.5000  6 S 2.74-2.77
Dy  0.0000  0.5000  0.0000  6 S 2.74-2.77
Dy  0.5000  0.0000  0.0000  6 S 2.74-2.77
Ag  0.5000  0.5000  0.5000  6 S 2.83
S  0.2371  0.7520  0.7520  2 Dy 2.74, 1 Ag 2.83, 2 Ca 2.87
S  0.2475  0.2475  0.2475  3 Dy 2.77, 3 Ca 2.83
S  0.2480  0.2480  0.7629  2 Dy 2.74, 1 Ag 2.83, 2 Ca 2.87
S  0.2480  0.7629  0.2480  2 Dy 2.74, 1 Ag 2.83, 2 Ca 2.87
S  0.7520  0.2371  0.7520  2 Dy 2.74, 1 Ag 2.83, 2 Ca 2.87
S  0.7520  0.7520  0.2371  2 Dy 2.74, 1 Ag 2.83, 2 Ca 2.87
S  0.7525  0.7525  0.7525  3 Dy 2.77, 3 Ca 2.83
S  0.7629  0.2480  0.2480  2 Dy 2.74, 1 Ag 2.83, 2 Ca 2.87

***

[2]
Entry from Alexandria: a geometry-optimized CaAc2Ga3Au4 structure (PBE).

## Properties
The energy of formation from the pure elements is -663 meV/atom.

a b c (Å): 4.5893 4.5893 11.4829
angles (deg): 90.00 90.00 90.00
With the nearest neighbours (Å) after each atom.
Atoms (fractional coordinates):
Ca  0.0000  0.0000  0.0000  4 Au 2.91, 4 Ga 3.25
Ac  0.0000  0.5000  0.7224  8 Au 3.43-3.53, 4 Ga 3.46
Ac  0.5000  0.0000  0.2776  8 Au 3.43-3.53, 4 Ga 3.46
Ga  0.0000  0.5000  0.3813  5 Au 2.59-2.67
Ga  0.5000  0.0000  0.6187  5 Au 2.59-2.67
Ga  0.5000  0.5000  0.0000  4 Au 2.91, 4 Ca 3.25
Au  0.0000  0.0000  0.5000  4 Ga 2.67
Au  0.0000  0.5000  0.1557  1 Ga 2.59
Au  0.5000  0.0000  0.8443  1 Ga 2.59
Au  0.5000  0.5000  0.5000  4 Ga 2.67

***

[3]
Entry from Alexandria: a geometry-optimized Pu11In9Ir4 structure (PBE).

## Properties
The energy of formation from the pure elements is -313 meV/atom.

a b c (Å): 13.0200 13.0200 3.6957
angles (deg): 90.00 90.00 111.44
With the nearest neighbours (Å) after each atom.
Atoms (fractional coordinates):
Pu  0.0000  0.0000  0.0000  8 In 3.25, 2 Pu 3.29
Pu  0.0724  0.4204  0.0000  2 Ir 2.85
Pu  0.1530  0.8470  0.0000  3 Pu 3.29-3.64, 8 In 3.30-3.37
Pu  0.3143  0.3143  0.0000  4 Ir 2.92
Pu  0.3727  0.6273  0.0000  4 Ir 2.92
Pu  0.4204  0.0724  0.0000  2 Ir 2.85
Pu  0.5796  0.9276  0.0000  2 Ir 2.85
Pu  0.6273  0.3727  0.0000  4 Ir 2.92
Pu  0.6857  0.6857  0.0000  4 Ir 2.92
Pu  0.8470  0.1530  0.0000  3 Pu 3.29-3.64, 8 In 3.30-3.37
Pu  0.9276  0.5796  0.0000  2 Ir 2.85
In  0.0785  0.2203  0.5000  1 Ir 3.03, 1 In 3.05, 6 Pu 3.22-3.37
In  0.1573  0.6385  0.5000  1 In 3.00, 1 Ir 3.05, 4 Pu 3.23-3.30
In  0.2203  0.0785  0.5000  1 Ir 3.03, 1 In 3.05, 6 Pu 3.22-3.37
In  0.3615  0.8427  0.5000  1 In 3.00, 1 Ir 3.05, 4 Pu 3.23-3.30
In  0.5000  0.5000  0.5000  4 Ir 3.11, 8 Pu 3.29-3.30
In  0.6385  0.1573  0.5000  1 In 3.00, 1 Ir 3.05, 4 Pu 3.23-3.30
In  0.7797  0.9215  0.5000  1 Ir 3.03, 1 In 3.05, 6 Pu 3.22-3.37
In  0.8427  0.3615  0.5000  1 In 3.00, 1 Ir 3.05, 4 Pu 3.23-3.30
In  0.9215  0.7797  0.5000  1 Ir 3.03, 1 In 3.05, 6 Pu 3.22-3.37
Ir  0.2481  0.4528  0.5000  6 Pu 2.85-2.92, 3 In 3.03-3.11
Ir  0.4528  0.2481  0.5000  6 Pu 2.85-2.92, 3 In 3.03-3.11
Ir  0.5472  0.7519  0.5000  6 Pu 2.85-2.92, 3 In 3.03-3.11
Ir  0.7519  0.5472  0.5000  6 Pu 2.85-2.92, 3 In 3.03-3.11

***

[4]
Entry from Alexandria: a geometry-optimized Tb3Ag2Hg7 structure (PBE).

## Properties
The energy of formation from the pure elements is -219 meV/atom.

a b c (Å): 4.8779 3.7522 16.2729
angles (deg): 90.00 97.67 90.00
With the nearest neighbours (Å) after each atom.
Atoms (fractional coordinates):
Tb  0.0000  0.0000  0.0000  8 Hg 3.06-3.08
Tb  0.3099  0.5000  0.6288  4 Ag 3.35-3.37, 8 Hg 3.35-3.43
Tb  0.6901  0.5000  0.3712  4 Ag 3.35-3.37, 8 Hg 3.35-3.43
Ag  0.1491  0.0000  0.2874  5 Hg 2.71-2.91
Ag  0.8509  0.0000  0.7126  5 Hg 2.71-2.91
Hg  0.0829  0.5000  0.1495  2 Ag 2.91, 2 Tb 3.06, 4 Hg 3.14-3.17
Hg  0.2298  0.0000  0.4553  1 Ag 2.71, 2 Hg 2.83-2.84
Hg  0.3950  0.0000  0.8072  2 Ag 2.87-2.89, 4 Hg 3.14-3.17
Hg  0.5000  0.5000  0.0000  4 Tb 3.08, 2 Hg 3.37
Hg  0.6050  0.0000  0.1928  2 Ag 2.87-2.89, 4 Hg 3.14-3.17
Hg  0.7702  0.0000  0.5447  1 Ag 2.71, 2 Hg 2.83-2.84
Hg  0.9171  0.5000  0.8505  2 Ag 2.91, 2 Tb 3.06, 4 Hg 3.14-3.17

***

[5]
Entry from Alexandria: a geometry-optimized Tm4NiSe2 structure (PBE).

## Properties
For the energy relative to the elements, uncorrected, the calculation gives -1071.8 meV per atom.

a b c (Å): 6.7582 6.7582 13.7637
angles (deg): 90.00 90.00 147.59
With the nearest neighbours (Å) after each atom.
Atoms (fractional coordinates):
Tm  0.0000  0.0000  0.0000  4 Se 2.79
Tm  0.0000  0.0000  0.5000  4 Se 2.79
Tm  0.2937  0.7063  0.6299  2 Ni 2.81, 3 Se 2.83-2.86
Tm  0.2937  0.7063  0.8701  2 Ni 2.81, 3 Se 2.83-2.86
Tm  0.4594  0.5406  0.2500  2 Ni 2.70, 2 Se 2.85
Tm  0.5406  0.4594  0.7500  2 Ni 2.70, 2 Se 2.85
Tm  0.7063  0.2937  0.1299  2 Ni 2.81, 3 Se 2.83-2.86
Tm  0.7063  0.2937  0.3701  2 Ni 2.81, 3 Se 2.83-2.86
Ni  0.1086  0.8914  0.2500  6 Tm 2.70-2.81
Ni  0.8914  0.1086  0.7500  6 Tm 2.70-2.81
Se  0.3576  0.6424  0.0664  6 Tm 2.79-2.86
Se  0.3576  0.6424  0.4336  6 Tm 2.79-2.86
Se  0.6424  0.3576  0.5664  6 Tm 2.79-2.86
Se  0.6424  0.3576  0.9336  6 Tm 2.79-2.86

***

[6]
Entry from Alexandria: a geometry-optimized KTc3F structure (PBE).

## Properties
For the energy relative to the elements, uncorrected, the calculation gives 3246.0 meV per atom. Its energy above the most stable polymorph in this dataset is 1695 meV per atom.

a b c (Å): 4.5881 4.5881 4.5881
angles (deg): 90.00 90.00 90.00
With the nearest neighbours (Å) after each atom.
Atoms (fractional coordinates):
K  0.0000  0.0000  0.0000  6 Tc 2.29
Tc  0.0000  0.0000  0.5000  2 K 2.29
Tc  0.0000  0.5000  0.0000  2 K 2.29
Tc  0.5000  0.0000  0.0000  2 K 2.29
F  0.5000  0.5000  0.5000  12 Tc 3.24

***

[7]
Entry from Alexandria: a geometry-optimized CeSmBr5 structure (PBE).

## Properties
For the energy relative to the elements, uncorrected, the calculation gives -1789.9 meV per atom.

a b c (Å): 8.3218 4.1160 13.7606
angles (deg): 90.00 92.28 90.00
With the nearest neighbours (Å) after each atom.
Atoms (fractional coordinates):
Ce  0.0872  0.2500  0.1546  7 Br 3.03-3.14
Ce  0.9128  0.7500  0.8454  7 Br 3.03-3.14
Sm  0.4204  0.7500  0.3454  7 Br 2.91-3.13
Sm  0.5796  0.2500  0.6546  7 Br 2.91-3.13
Br  0.0624  0.7500  0.3161  1 Sm 2.99, 2 Ce 3.04
Br  0.1472  0.2500  0.9304  3 Ce 3.04-3.14
Br  0.3173  0.2500  0.4854  3 Sm 2.97-3.13
Br  0.3506  0.7500  0.1308  1 Sm 2.99, 2 Ce 3.03
Br  0.3571  0.7500  0.7140  2 Sm 2.91
Br  0.6429  0.2500  0.2860  2 Sm 2.91
Br  0.6494  0.2500  0.8692  1 Sm 2.99, 2 Ce 3.03
Br  0.6827  0.7500  0.5146  3 Sm 2.97-3.13
Br  0.8528  0.7500  0.0696  3 Ce 3.04-3.14
Br  0.9376  0.2500  0.6839  1 Sm 2.99, 2 Ce 3.04

***

[8]
Entry from Alexandria: a geometry-optimized TcOsAu3 structure (PBE).

## Properties
The energy of formation from the pure elements is 1784 meV/atom. Its energy above the most stable polymorph in this dataset is 0 meV per atom.

a b c (Å): 4.9991 4.9991 4.9991
angles (deg): 90.00 90.00 90.00
With the nearest neighbours (Å) after each atom.
Atoms (fractional coordinates):
Tc  0.0000  0.0000  0.0000  12 Au 3.53
Os  0.5000  0.5000  0.5000  6 Au 2.50
Au  0.0000  0.5000  0.5000  2 Os 2.50
Au  0.5000  0.0000  0.5000  2 Os 2.50
Au  0.5000  0.5000  0.0000  2 Os 2.50

***

[9]
Entry from Alexandria: a geometry-optimized BaP3Pd structure (PBE).

## Properties
The energy of formation from the pure elements is -19 meV/atom. Its energy above the most stable polymorph in this dataset is 0 meV per atom.

a b c (Å): 4.8643 4.8643 4.8643
angles (deg): 90.00 90.00 90.00
With the nearest neighbours (Å) after each atom.
Atoms (fractional coordinates):
Ba  0.0000  0.0000  0.0000  12 P 3.44
P  0.0000  0.5000  0.5000  2 Pd 2.43
P  0.5000  0.0000  0.5000  2 Pd 2.43
P  0.5000  0.5000  0.0000  2 Pd 2.43
Pd  0.5000  0.5000  0.5000  6 P 2.43

***

no.,D(E_F) (states/eV per atom),final energy (eV/f.u.)
1,0.050,-82.9
2,0.622,-39.0
3,3.671,-225.3
4,0.682,-24.3
5,0.645,-38.1
6,1.287,-17.8
7,0.697,-31.5
8,1.239,-22.5
9,0.794,-23.4